(1)
DFT (PBE) results for CuOs2Cl after structural relaxation.

```
CuOs2Cl
1.0
7.083 0.000 0.000
0.000 7.083 0.000
0.000 0.000 4.916
Cu Os Cl
4 8 4
direct
0.000 0.000 0.000
0.000 0.500 0.250
0.500 0.000 0.750
0.500 0.500 0.500
0.193 0.250 0.625
0.250 0.693 0.875
0.250 0.807 0.375
0.307 0.250 0.125
0.693 0.750 0.125
0.750 0.193 0.375
0.750 0.307 0.875
0.807 0.750 0.625
0.000 0.000 0.500
0.000 0.500 0.750
0.500 0.000 0.250
0.500 0.500 0.000
```

Properties
The value obtained for the magnetization is 0.000 μB per atom. The value obtained for the energy relative to the elements, uncorrected is 1.49 eV per atom. Its offset from the most stable computed form is 1140.3 meV per atom. Its space group is I-42d, No. 122.

(2)
DFT (PBE) results for Er7InSi5 after structural relaxation.

```
Er7InSi5
1.0
-2.889 5.335 4.895
2.889 -5.335 4.895
2.889 5.335 -4.895
Er In Si
7 1 5
direct
0.000 0.000 0.000
0.312 0.641 0.671
0.367 0.367 0.000
0.424 0.091 0.333
0.758 0.091 0.667
0.852 0.352 0.500
0.970 0.641 0.329
0.681 0.681 0.000
0.113 0.156 0.525
0.113 0.587 0.957
0.363 0.863 0.500
0.631 0.156 0.043
0.631 0.587 0.475
```

Properties
The value obtained for the magnetization is 0.000 μB per atom. The value obtained for the energy relative to the elements, uncorrected is -0.42 eV per atom. Its space group is Imm2, No. 44.

(3)
DFT (PBE) results for BaMg2Mo after structural relaxation.

```
BaMg2Mo
1.0
3.579 0.000 0.000
0.000 3.579 0.000
0.000 0.000 8.322
Ba Mg Mo
1 2 1
direct
0.000 0.000 0.000
0.500 0.500 0.325
0.500 0.500 0.675
0.000 0.000 0.500
```

Properties
The value obtained for the magnetization is 0.618 μB per atom. For the energy of formation, the calculation gives 0.5381 eV/atom. Its offset from the most stable computed form is 15.4 meV per atom. Its space group is P4/mmm, No. 123.

(4)
DFT (PBE) results for SrEuZrSbO6 after structural relaxation.

```
SrEuZrSbO6
1.0
0.000 4.207 4.207
4.207 0.000 4.207
4.207 4.207 0.000
Sr Eu Zr Sb O
1 1 1 1 6
direct
0.000 0.000 0.000
0.500 0.500 0.500
0.750 0.750 0.750
0.250 0.250 0.250
0.501 0.501 0.999
0.501 0.999 0.501
0.501 0.999 0.999
0.999 0.501 0.501
0.999 0.501 0.999
0.999 0.999 0.501
```

Properties
The value obtained for the magnetization is 0.697 μB per atom. The value obtained for the energy relative to the elements, uncorrected is -2.49 eV per atom. Its space group is F-43m, No. 216.

(5)
DFT (PBE) results for Cr3TeRu after structural relaxation.

```
Cr3TeRu
1.0
4.737 0.000 0.000
0.000 4.737 0.000
0.000 0.000 4.737
Cr Te Ru
3 1 1
direct
0.000 0.000 0.500
0.000 0.500 0.000
0.500 0.000 0.000
0.500 0.500 0.500
0.000 0.000 0.000
```

Properties
The value obtained for the magnetization is 2.053 μB per atom. The value obtained for the energy relative to the elements, uncorrected is 1.03 eV per atom. Its offset from the most stable computed form is 0.0 meV per atom. Its space group is Pm-3m, No. 221.

(6)
DFT (PBE) results for Na2CeErTe4 after structural relaxation.

```
Na2CeErTe4
1.0
7.780 0.000 0.000
0.000 4.489 0.000
-2.584 0.000 7.533
Na Ce Er Te
2 1 1 4
direct
0.000 0.000 0.000
0.500 0.500 0.000
0.000 0.500 0.500
0.500 0.000 0.500
0.255 0.000 0.737
0.265 0.500 0.268
0.735 0.500 0.732
0.745 0.000 0.263
```

Properties
The value obtained for the magnetization is 0.126 μB per atom. The value obtained for the energy relative to the elements, uncorrected is -1.27 eV per atom. Its space group is P2/m, No. 10.

(7)
DFT (PBE) results for La2TbY4Tm2 after structural relaxation.

```
La2TbY4Tm2
1.0
6.206 0.000 0.000
1.057 6.141 0.000
2.049 0.702 7.739
La Tb Y Tm
2 1 4 2
direct
0.173 0.330 0.333
0.827 0.670 0.667
0.500 0.000 0.000
0.057 0.110 0.779
0.277 0.553 0.888
0.723 0.447 0.112
0.943 0.890 0.221
0.391 0.777 0.444
0.609 0.223 0.556
```

Properties
The value obtained for the magnetization is 0.000 μB per atom. For the energy of formation, the calculation gives 0.0281 eV/atom. Its space group is P-1, No. 2.

(8)
DFT (PBE) results for RbNbAl2 after structural relaxation.

```
RbNbAl2
1.0
7.236 0.000 0.000
0.000 7.236 0.000
0.000 0.000 7.236
Rb Nb Al
4 4 8
direct
0.000 0.000 0.000
0.000 0.500 0.500
0.500 0.000 0.500
0.500 0.500 0.000
0.000 0.000 0.500
0.000 0.500 0.000
0.500 0.000 0.000
0.500 0.500 0.500
0.250 0.250 0.250
0.250 0.250 0.750
0.250 0.750 0.250
0.250 0.750 0.750
0.750 0.250 0.250
0.750 0.250 0.750
0.750 0.750 0.250
0.750 0.750 0.750
```

Properties
The value obtained for the magnetization is 0.519 μB per atom. For the energy of formation, the calculation gives 0.9673 eV/atom. Its offset from the most stable computed form is 40.0 meV per atom. Its space group is Fm-3m, No. 225.

(9)
DFT (PBE) results for BeMoPb2 after structural relaxation.

```
BeMoPb2
1.0
3.789 0.000 0.000
0.000 5.138 0.000
0.000 0.000 8.460
Be Mo Pb
2 2 4
direct
0.000 0.000 0.000
0.500 0.500 0.000
0.000 0.000 0.500
0.500 0.500 0.500
0.000 0.500 0.237
0.000 0.500 0.763
0.500 0.000 0.237
0.500 0.000 0.763
```

Properties
The value obtained for the magnetization is 0.000 μB per atom. For the energy of formation, the calculation gives 0.9270 eV/atom. Its space group is Cmmm, No. 65.

(10)
DFT (PBE) results for PmBeInCu after structural relaxation.

```
PmBeInCu
1.0
6.665 0.000 0.000
0.000 6.665 0.000
0.000 0.000 6.665
Pm Be In Cu
4 4 4 4
direct
0.000 0.000 0.000
0.000 0.500 0.500
0.500 0.000 0.500
0.500 0.500 0.000
0.250 0.250 0.750
0.250 0.750 0.250
0.750 0.250 0.250
0.750 0.750 0.750
0.000 0.000 0.500
0.000 0.500 0.000
0.500 0.000 0.000
0.500 0.500 0.500
0.250 0.250 0.250
0.250 0.750 0.750
0.750 0.250 0.750
0.750 0.750 0.250
```

Properties
The value obtained for the magnetization is 0.000 μB per atom. For the energy of formation, the calculation gives -0.1329 eV/atom. Its space group is F-43m, No. 216.

(11)
DFT (PBE) results for HoTiAl4 after structural relaxation.

```
HoTiAl4
1.0
0.000 3.787 3.787
3.787 0.000 3.787
3.787 3.787 0.000
Ho Ti Al
1 1 4
direct
0.000 0.000 0.000
0.250 0.250 0.250
0.126 0.625 0.625
0.625 0.126 0.625
0.625 0.625 0.126
0.625 0.625 0.625
```

Properties
The value obtained for the magnetization is 0.000 μB per atom. For the energy of formation, the calculation gives -0.3874 eV/atom. Its offset from the most stable computed form is 0.0 meV per atom. Its space group is F-43m, No. 216.

(12)
DFT (PBE) results for Na2CdHg after structural relaxation.

```
Na2CdHg
1.0
7.493 0.000 0.000
0.000 7.493 0.000
0.000 0.000 7.493
Na Cd Hg
8 4 4
direct
0.250 0.250 0.250
0.250 0.250 0.750
0.250 0.750 0.250
0.250 0.750 0.750
0.750 0.250 0.250
0.750 0.250 0.750
0.750 0.750 0.250
0.750 0.750 0.750
0.000 0.000 0.000
0.000 0.500 0.500
0.500 0.000 0.500
0.500 0.500 0.000
0.000 0.000 0.500
0.000 0.500 0.000
0.500 0.000 0.000
0.500 0.500 0.500
```

Properties
The value obtained for the magnetization is 0.000 μB per atom. For the energy of formation, the calculation gives -0.1517 eV/atom. Its offset from the most stable computed form is 8.1 meV per atom. Its space group is Fm-3m, No. 225.